Entry 1:
The following is a PBE calculation of a relaxed structure of SrLiGe3, from Alexandria.

Geometry as POSCAR:
```
SrLiGe3
1.0
4.0931 0.0000 0.0000
0.0000 4.4565 0.0000
0.0000 -2.2283 12.8044
Sr Li Ge
2 2 6
Direct
0.2500 0.0797 0.1594
0.7500 0.9203 0.8406
0.2500 0.7977 0.5955
0.7500 0.2023 0.4045
0.2500 0.3655 0.7311
0.7500 0.6345 0.2689
0.2500 0.4712 0.9423
0.7500 0.5288 0.0577
0.7500 0.3081 0.6162
0.2500 0.6919 0.3838
```

Summary:
Its energy above the lowest structure with this stoichiometry is 0.000 eV per atom.

=====

Entry 2:
The following is a PBE calculation of a relaxed structure of SrLi12Ge4, from Alexandria.

Geometry as POSCAR:
```
SrLi12Ge4
1.0
8.1158 0.0000 0.0000
-2.7053 7.6516 0.0000
-2.7053 -3.8258 6.6265
Sr Li Ge
1 12 4
Direct
0.0000 0.0000 0.0000
0.7974 0.3319 0.1293
0.3319 0.5346 0.2026
0.8707 0.2026 0.6681
0.3319 0.1293 0.7974
0.1293 0.7974 0.3319
0.6681 0.4654 0.7974
0.5346 0.2026 0.3319
0.4654 0.7974 0.6681
0.6681 0.8707 0.2026
0.7974 0.6681 0.4654
0.2026 0.3319 0.5346
0.2026 0.6681 0.8707
0.0000 0.5000 0.0000
0.5000 0.0000 0.0000
0.5000 0.5000 0.5000
0.0000 0.0000 0.5000
```

=====

Entry 3:
The following is a PBE calculation of a relaxed structure of Sr2LiGe2, from Alexandria.

Geometry as POSCAR:
```
Sr2LiGe2
1.0
-3.5998 -0.4338 2.9820
-5.3417 -1.0559 -2.9067
0.0011 -10.0237 2.2386
Sr Li Ge
4 2 4
Direct
0.6861 0.2960 0.3318
0.9155 0.2747 0.8943
0.3139 0.7040 0.6682
0.0845 0.7253 0.1057
0.6368 0.0920 0.6344
0.3632 0.9080 0.3656
0.0627 0.3095 0.5651
0.6210 0.8679 0.8901
0.9373 0.6905 0.4349
0.3790 0.1321 0.1099
```

=====

Entry 4:
The following is a PBE calculation of a relaxed structure of SrLi3Ge, from Alexandria.

Geometry as POSCAR:
```
SrLi3Ge
1.0
-3.1313 0.5049 -3.7930
-3.6466 -1.8788 2.7604
-1.1594 4.5456 1.5623
Sr Ge Li
1 1 3
Direct
0.5000 0.5000 0.5000
0.0000 0.0000 0.0000
0.0000 0.5000 0.0000
0.0000 0.0000 0.5000
0.5000 0.0000 0.0000
```

Summary:
Its energy above the lowest structure with this stoichiometry is 0.058 eV per atom.

=====

Entry 5:
The following is a PBE calculation of a relaxed structure of SrLi4Ge4, from Alexandria.

Geometry as POSCAR:
```
SrLi4Ge4
1.0
-3.5505 0.8847 1.4919
0.6179 -7.6422 6.0020
4.2291 5.6262 6.7283
Sr Li Ge
2 8 8
Direct
0.0000 0.0000 0.0000
0.5000 0.5000 0.5000
0.5000 0.3591 0.9300
0.0000 0.5700 0.8591
0.5000 0.6409 0.0700
0.0000 0.1409 0.5700
0.5000 0.9300 0.6409
0.0000 0.8591 0.4300
0.0000 0.4300 0.1409
0.5000 0.0700 0.3591
0.5000 0.8310 0.2537
0.5000 0.1690 0.7463
0.0000 0.7537 0.6690
0.0000 0.3310 0.7537
0.0000 0.6690 0.2463
0.5000 0.2537 0.1690
0.5000 0.7463 0.8310
0.0000 0.2463 0.3310
```

=====

Entry 6:
The following is a PBE calculation of a relaxed structure of Sr2LiGe3, from Alexandria.

Geometry as POSCAR:
```
Sr2LiGe3
1.0
-7.3411 3.1305 3.7866
-6.6589 -3.1330 4.6735
0.8389 1.2898 6.1738
Sr Li Ge
4 2 6
Direct
0.2408 0.7592 0.2408
0.7592 0.2408 0.7592
0.7500 0.7500 0.7500
0.2500 0.2500 0.2500
0.6662 0.6662 0.3338
0.3338 0.3338 0.6662
0.6653 0.1684 0.3347
0.8316 0.3347 0.1684
0.3347 0.8316 0.6653
0.1684 0.6653 0.8316
0.8338 0.8338 0.1662
0.1662 0.1662 0.8338
```

Summary:
Its energy above the lowest structure with this stoichiometry is 0.003 eV per atom.

=====

Entry 7:
The following is a PBE calculation of a relaxed structure of SrLi2TbGe2, from Alexandria.

Geometry as POSCAR:
```
SrLi2TbGe2
1.0
4.5624 0.0000 0.0000
-2.2812 3.9512 0.0000
0.0000 0.0000 7.6428
Sr Li Tb Ge
1 2 1 2
Direct
0.0000 0.0000 0.0000
0.3333 0.6667 0.7007
0.6667 0.3333 0.2993
0.0000 0.0000 0.5000
0.3333 0.6667 0.2928
0.6667 0.3333 0.7072
```

=====

Entry 8:
The following is a PBE calculation of a relaxed structure of Sr2LiTcGe, from Alexandria.

Geometry as POSCAR:
```
Sr2LiTcGe
1.0
5.5216 0.0000 0.0000
0.0000 4.8696 0.0000
0.0000 0.0000 5.5216
Sr Ge Tc Li
2 1 1 1
Direct
0.0000 0.0000 0.5000
0.5000 0.0000 0.0000
0.5000 0.5000 0.5000
0.0000 0.0000 0.0000
0.0000 0.5000 0.0000
```

=====

Entry 9:
The following is a PBE calculation of a relaxed structure of SrLiTlGe, from Alexandria.

Geometry as POSCAR:
```
SrLiTlGe
1.0
5.2713 0.0000 0.0000
2.6357 4.5651 0.0000
2.6357 1.5217 4.3040
Sr Tl Ge Li
1 1 1 1
Direct
0.0000 0.0000 0.0000
0.7500 0.7500 0.7500
0.2500 0.2500 0.2500
0.5000 0.5000 0.5000
```

=====

Entry 10:
The following is a PBE calculation of a relaxed structure of SrLiYGe, from Alexandria.

Geometry as POSCAR:
```
SrLiYGe
1.0
5.2647 0.0000 0.0000
2.6323 4.5594 0.0000
2.6323 1.5198 4.2986
Y Sr Ge Li
1 1 1 1
Direct
0.5000 0.5000 0.5000
0.0000 0.0000 0.0000
0.2500 0.2500 0.2500
0.7500 0.7500 0.7500
```

=====

Entry 11:
The following is a PBE calculation of a relaxed structure of Sr2LiZn3Ge4, from Alexandria.

Geometry as POSCAR:
```
Sr2LiZn3Ge4
1.0
4.3991 0.0000 0.0000
0.0000 4.3991 0.0000
0.0000 0.0000 10.7936
Sr Li Zn Ge
2 1 3 4
Direct
0.5000 0.0000 0.2545
0.0000 0.5000 0.7455
0.5000 0.5000 0.5000
0.0000 0.0000 0.5000
0.5000 0.0000 0.8632
0.0000 0.5000 0.1368
0.5000 0.5000 0.0000
0.0000 0.0000 0.0000
0.5000 0.0000 0.6322
0.0000 0.5000 0.3678
```

=====

Entry 12:
The following is a PBE calculation of a relaxed structure of SrLiZnGe2, from Alexandria.

Geometry as POSCAR:
```
SrLiZnGe2
1.0
4.3671 0.0000 0.0000
0.0000 4.3671 0.0000
-2.1835 -2.1835 5.4467
Sr Li Zn Ge
1 1 1 2
Direct
0.0000 0.0000 0.0000
0.7500 0.2500 0.5000
0.2500 0.7500 0.5000
0.6161 0.6161 0.2322
0.3839 0.3839 0.7678
```

=====

Record-wise D(E_F) values, in states/eV/cell: 4.0 10.8 7.2 1.7 3.3 2.4 2.4 5.9 0.8 2.4 3.0 1.5
Record-wise ΔE_f values, in meV/atom: -346 -53 -525 -189 -321 -562 -584 782 -290 -300 -402 -464